DFT (PBE) results for a relaxed structure of CaZrIn2.

a = 5.4010 Å, b = 5.4010 Å, c = 3.3631 Å
α = 90.00°, β = 90.00°, γ = 90.00°
With the nearest neighbours (Å) after each atom.
Space group P4/mmm (No. 123)
Symmetry-distinct sites (fractional):
Ca  0.0000  0.0000  0.0000 (multiplicity 1)  8 In 3.18, 2 Ca 3.36
Zr  0.5000  0.5000  0.0000 (multiplicity 1)  8 In 3.18, 2 Zr 3.36
In  0.0000  0.5000  0.5000 (multiplicity 2)  4 Zr 3.18, 4 Ca 3.18, 2 In 3.36

## Properties
E_form: -26.2 kJ/mol of atoms

DFT (PBE) results for a relaxed structure of LiDyMg.

a = 3.5340 Å, b = 3.5340 Å, c = 11.8454 Å
α = 90.00°, β = 90.00°, γ = 90.00°
With the nearest neighbours (Å) after each atom.
Space group I4mm (No. 107)
Symmetry-distinct sites (fractional):
Li  0.0000  0.0000  0.0000 (multiplicity 2)  4 Mg 2.91
Dy  0.0000  0.0000  0.6850 (multiplicity 2)  4 Li 3.32, 5 Mg 3.36-3.68, 4 Dy 3.53
Mg  0.0000  0.0000  0.3742 (multiplicity 2)  4 Li 2.91

## Properties
relative energy among the computed polymorphs: 81 meV per atom
E_form: 4.5 kJ/mol of atoms

Question: Look up the E_form of the first one.
Answer: -26.2 kJ/mol of atoms

What did the second record say?
DFT (PBE) results for a relaxed structure of LiDyMg.

a = 3.5340 Å, b = 3.5340 Å, c = 11.8454 Å
α = 90.00°, β = 90.00°, γ = 90.00°
With the nearest neighbours (Å) after each atom.
Space group I4mm (No. 107)
Symmetry-distinct sites (fractional):
Li  0.0000  0.0000  0.0000 (multiplicity 2)  4 Mg 2.91
Dy  0.0000  0.0000  0.6850 (multiplicity 2)  4 Li 3.32, 5 Mg 3.36-3.68, 4 Dy 3.53
Mg  0.0000  0.0000  0.3742 (multiplicity 2)  4 Li 2.91

## Properties
relative energy among the computed polymorphs: 81 meV per atom
E_form: 4.5 kJ/mol of atoms